## Cd3CBr (GGA-PBE)

Data for an optimized crystal structure of Cd3CBr.

Unit cell a=7.7769 b=7.7769 c=7.4217 alpha=90.00 beta=90.00 gamma=120.01
Element x y z (fractional)
C 0.3333 0.6667 0.7500
C 0.6667 0.3333 0.2500
Br 0.0000 0.0000 0.5000
Br 0.0000 0.0000 0.0000
Cd 0.6446 0.8223 0.7500
Cd 0.1777 0.3554 0.7500
Cd 0.1777 0.8223 0.7500
Cd 0.8223 0.6446 0.2500
Cd 0.8223 0.1777 0.2500
Cd 0.3554 0.1777 0.2500

Calculated values
- E_tot: -1.7548 eV per atom
- SG: P6_3/mmc
- Crystal system: hexagonal

***

## PAuO4 (GGA-PBE)

Data for an optimized crystal structure of PAuO4.

Unit cell a=4.6368 b=4.1399 c=4.6945 alpha=115.07 beta=80.08 gamma=114.49
Element x y z (fractional)
O 0.4522 0.7718 0.7910
O 0.2426 0.0531 0.4318
O 0.6044 0.5591 0.2176
O 0.8176 0.4024 0.5865
Au 0.0308 0.6986 0.0092
P 0.5276 0.4465 0.5064

Calculated values
- E_tot: -5.9495 eV per atom
- SG: P1
- ΔE to the lowest computed polymorph: 71 meV per atom
- Crystal system: triclinic

***

## La3GaFeS7 (GGA-PBE)

Data for an optimized crystal structure of La3GaFeS7.

Unit cell a=10.1956 b=5.9855 c=10.2316 alpha=90.00 beta=119.69 gamma=90.00
Site moments in Bohr magnetons follow the coordinates.
Element x y z (fractional)
S 0.3337 0.9873 0.6679  0.00
S 0.4181 0.5104 0.9021  0.01
S 0.0965 0.5106 0.5174  0.01
S 0.0865 0.2416 0.8577  0.10
S 0.5819 0.0104 0.0979  0.01
S 0.9035 0.0106 0.4826  0.01
S 0.7700 0.2412 0.9113  0.10
S 0.2300 0.7412 0.0887  0.10
S 0.6663 0.4873 0.3321  0.00
S 0.4839 0.5104 0.5814  0.01
S 0.5161 0.0104 0.4186  0.01
S 0.8555 0.7411 0.7670  0.09
S 0.1445 0.2411 0.2330  0.08
S 0.9135 0.7416 0.1423  0.10
Fe 0.0006 0.5010 0.0006  3.34
Fe 0.9994 0.0010 0.9994  3.32
Ga 0.3330 0.3622 0.6666  0.00
Ga 0.6670 0.8622 0.3334  0.00
La 0.6276 0.7804 0.8597  0.01
La 0.2342 0.7813 0.3759  0.02
La 0.8617 0.2798 0.2325  0.01
La 0.3724 0.2804 0.1403  0.01
La 0.7658 0.2813 0.6241  0.02
La 0.1383 0.7798 0.7675  0.01

Calculated values
- E_tot: -6.1618 eV per atom
- SG: P2_1
- Crystal system: monoclinic

***

## ScAuSO (GGA-PBE)

Data for an optimized crystal structure of ScAuSO.

Unit cell a=3.9556 b=6.6360 c=5.9624 alpha=90.00 beta=90.00 gamma=90.00
Element x y z (fractional)
O 0.5000 0.9173 0.6964
O 0.5000 0.0827 0.1964
S 0.0000 0.6630 0.1820
S 0.0000 0.3370 0.6820
Sc 0.5000 0.1594 0.5128
Sc 0.5000 0.8406 0.0128
Au 0.0000 0.6925 0.5999
Au 0.0000 0.3075 0.0999

Calculated values
- E_tot: -6.1012 eV per atom
- SG: Pmc2_1
- ΔE to the lowest computed polymorph: 413 meV per atom
- Crystal system: orthorhombic

***

## LiYTlAg (GGA-PBE)

Data for an optimized crystal structure of LiYTlAg.

Unit cell a=5.0175 b=5.0175 c=5.0175 alpha=60.00 beta=60.00 gamma=60.00
Element x y z (fractional)
Ag 0.0000 0.0000 0.0000
Tl 0.5000 0.5000 0.5000
Li 0.7500 0.7500 0.7500
Y 0.2500 0.2500 0.2500

Calculated values
- E_tot: -3.6811 eV per atom
- SG: F-43m
- ΔE to the lowest computed polymorph: 7 meV per atom
- Crystal system: cubic

***

## LaTmGa5 (GGA-PBE)

Data for an optimized crystal structure of LaTmGa5.

Unit cell a=4.4765 b=4.4765 c=8.1250 alpha=90.00 beta=90.00 gamma=90.00
Element x y z (fractional)
Ga 0.0000 0.5000 0.7309
Ga 0.0000 0.5000 0.2691
Ga 0.5000 0.5000 0.0000
Ga 0.5000 0.0000 0.7309
Ga 0.5000 0.0000 0.2691
La 0.0000 0.0000 0.0000
Tm 0.0000 0.0000 0.5000

Calculated values
- E_tot: -3.8600 eV per atom
- SG: P4/mmm
- Crystal system: tetragonal

***

## DyHoSiGeOs (GGA-PBE)

Data for an optimized crystal structure of DyHoSiGeOs.

Unit cell a=5.7463 b=5.7463 c=10.1170 alpha=116.32 beta=116.32 gamma=43.14
Element x y z (fractional)
Os 0.7330 0.7330 0.3756
Os 0.2670 0.2670 0.6244
Dy 0.9930 0.9930 0.3258
Dy 0.0070 0.0070 0.6742
Ge 0.4874 0.4874 0.1250
Ge 0.5126 0.5126 0.8750
Si 0.6444 0.6444 0.5601
Si 0.3556 0.3556 0.4399
Ho 0.8146 0.8146 0.8837
Ho 0.1854 0.1854 0.1163

Calculated values
- E_tot: -6.8905 eV per atom
- SG: C2/m
- ΔE to the lowest computed polymorph: 6 meV per atom
- Crystal system: monoclinic

***

## Sm2YNi4Sn4 (GGA-PBE)

Data for an optimized crystal structure of Sm2YNi4Sn4.

Unit cell a=8.3175 b=8.3175 c=8.3175 alpha=148.90 beta=130.58 gamma=59.54
Element x y z (fractional)
Ni 0.0121 0.3248 0.6874
Ni 0.3626 0.6752 0.6874
Ni 0.6374 0.3248 0.3126
Ni 0.9879 0.6752 0.3126
Sn 0.7839 0.7839 0.0000
Sn 0.2161 0.2161 0.0000
Sn 0.2942 0.5000 0.7942
Sn 0.7058 0.5000 0.2058
Y 0.0000 0.0000 0.0000
Sm 0.6323 0.1323 0.5000
Sm 0.3677 0.8677 0.5000

Calculated values
- E_tot: -5.4814 eV per atom
- SG: Immm
- Crystal system: orthorhombic

***

## AlCu2B (GGA-PBE)

Data for an optimized crystal structure of AlCu2B.

Unit cell a=5.6371 b=5.6371 c=5.6371 alpha=90.00 beta=90.00 gamma=90.00
Element x y z (fractional)
B 0.0000 0.0000 0.5000
B 0.0000 0.0000 0.0000
B 0.5000 0.0000 0.0000
B 0.0000 0.5000 0.0000
Cu 0.2271 0.7729 0.7729
Cu 0.7729 0.2271 0.7729
Cu 0.7729 0.2271 0.2271
Cu 0.2271 0.7729 0.2271
Cu 0.2271 0.2271 0.2271
Cu 0.7729 0.7729 0.7729
Cu 0.7729 0.7729 0.2271
Cu 0.2271 0.2271 0.7729
Al 0.5000 0.5000 0.0000
Al 0.5000 0.5000 0.5000
Al 0.5000 0.0000 0.5000
Al 0.0000 0.5000 0.5000

Calculated values
- E_tot: -4.0759 eV per atom
- SG: Pm-3m
- Crystal system: cubic

***

## RbCuBiS3 (GGA-PBE)

Data for an optimized crystal structure of RbCuBiS3.

Unit cell a=7.5874 b=7.5874 c=10.7965 alpha=90.00 beta=90.00 gamma=149.28
Element x y z (fractional)
S 0.3771 0.6229 0.4328
S 0.9506 0.0494 0.7500
S 0.3771 0.6229 0.0672
S 0.6229 0.3771 0.5672
S 0.0494 0.9506 0.2500
S 0.6229 0.3771 0.9328
Bi 0.0000 0.0000 0.0000
Bi 0.0000 0.0000 0.5000
Cu 0.5389 0.4611 0.7500
Cu 0.4611 0.5389 0.2500
Rb 0.7398 0.2602 0.2500
Rb 0.2602 0.7398 0.7500

Calculated values
- E_tot: -4.0133 eV per atom
- SG: Cmcm
- Crystal system: orthorhombic

***

## Hg2Ge2O5 (GGA-PBE)

Data for an optimized crystal structure of Hg2Ge2O5.

Unit cell a=9.8176 b=3.5118 c=3.5118 alpha=90.00 beta=90.00 gamma=90.00
Element x y z (fractional)
O 0.8830 0.0000 0.5000
O 0.5000 0.5000 0.5000
O 0.1170 0.5000 0.0000
O 0.1170 0.0000 0.5000
O 0.8830 0.5000 0.0000
Hg 0.2656 0.5000 0.5000
Hg 0.7344 0.5000 0.5000
Ge 0.5000 0.0000 0.0000
Ge 0.0000 0.0000 0.0000

Calculated values
- E_tot: -3.9680 eV per atom
- SG: P4/mmm
- ΔE to the lowest computed polymorph: 586 meV per atom
- Crystal system: tetragonal

***

## Dy2Tm2O5 (GGA-PBE)

Data for an optimized crystal structure of Dy2Tm2O5.

Unit cell a=9.0567 b=3.8901 c=3.8901 alpha=90.00 beta=90.00 gamma=90.00
Site moments in Bohr magnetons follow the coordinates.
Element x y z (fractional)
Tm 0.7555 0.5000 0.5000  0.08
Tm 0.2445 0.5000 0.5000  0.08
Dy 0.5000 0.0000 0.0000  0.65
Dy 0.0000 0.0000 0.0000  0.01
O 0.5000 0.5000 0.5000  0.03
O 0.1496 0.0000 0.5000  0.03
O 0.1496 0.5000 0.0000  0.02
O 0.8504 0.5000 0.0000  0.02
O 0.8504 0.0000 0.5000  0.03

Calculated values
- E_tot: -7.7015 eV per atom
- SG: P4/mmm
- ΔE to the lowest computed polymorph: 0 meV per atom
- Crystal system: tetragonal

***

## NdSmAsO (GGA-PBE)

Data for an optimized crystal structure of NdSmAsO.

Unit cell a=4.3768 b=4.3768 c=9.3120 alpha=90.00 beta=90.00 gamma=90.00
Element x y z (fractional)
O 0.7500 0.2500 0.0000
O 0.2500 0.7500 0.0000
Nd 0.7500 0.2500 0.5000
Nd 0.2500 0.7500 0.5000
As 0.7500 0.7500 0.2857
As 0.2500 0.2500 0.7143
Sm 0.2500 0.2500 0.1017
Sm 0.7500 0.7500 0.8983

Calculated values
- E_tot: -6.5871 eV per atom
- SG: P4/nmm
- ΔE to the lowest computed polymorph: 108 meV per atom
- Crystal system: tetragonal

***

## Er5Tl3Ga (GGA-PBE)

Data for an optimized crystal structure of Er5Tl3Ga.

Unit cell a=9.1404 b=9.1404 c=6.6233 alpha=90.00 beta=90.00 gamma=120.00
Element x y z (fractional)
Ga 0.0000 0.0000 0.0000
Ga 0.0000 0.0000 0.5000
Er 0.7332 0.0000 0.2500
Er 0.2668 0.0000 0.7500
Er 0.6667 0.3333 0.0000
Er 0.7332 0.7332 0.7500
Er 0.3333 0.6667 0.5000
Er 0.0000 0.7332 0.2500
Er 0.0000 0.2668 0.7500
Er 0.3333 0.6667 0.0000
Er 0.6667 0.3333 0.5000
Er 0.2668 0.2668 0.2500
Tl 0.0000 0.3856 0.2500
Tl 0.0000 0.6144 0.7500
Tl 0.3856 0.0000 0.2500
Tl 0.3856 0.3856 0.7500
Tl 0.6144 0.0000 0.7500
Tl 0.6144 0.6144 0.2500

Calculated values
- E_tot: -4.0486 eV per atom
- SG: P6_3/mcm
- Crystal system: hexagonal

***

## GdGaB4 (GGA-PBE)

Data for an optimized crystal structure of GdGaB4.

Unit cell a=3.1548 b=3.1548 c=7.4373 alpha=90.00 beta=90.00 gamma=120.00
Element x y z (fractional)
Ga 0.0000 0.0000 0.5000
B 0.6667 0.3333 0.7258
B 0.6667 0.3333 0.2742
B 0.3333 0.6667 0.2742
B 0.3333 0.6667 0.7258
Gd 0.0000 0.0000 0.0000

Calculated values
- E_tot: -5.7340 eV per atom
- SG: P6/mmm
- ΔE to the lowest computed polymorph: 155 meV per atom
- Crystal system: hexagonal

***

## ZrTl2Cu (GGA-PBE)

Data for an optimized crystal structure of ZrTl2Cu.

Unit cell a=4.9811 b=4.9811 c=4.9811 alpha=60.00 beta=60.00 gamma=60.00
Element x y z (fractional)
Zr 0.5000 0.5000 0.5000
Tl 0.0000 0.0000 0.0000
Tl 0.7500 0.7500 0.7500
Cu 0.2500 0.2500 0.2500

Calculated values
- E_tot: -3.8725 eV per atom
- SG: F-43m
- Crystal system: cubic

***

## PmFeIr (GGA-PBE)

Data for an optimized crystal structure of PmFeIr.

Unit cell a=4.5665 b=4.5665 c=4.5665 alpha=60.00 beta=60.00 gamma=60.00
Element x y z (fractional)
Pm 0.0000 0.0000 0.0000
Fe 0.2500 0.2500 0.2500
Ir 0.7500 0.7500 0.7500

Calculated values
- E_tot: -6.4794 eV per atom
- SG: F-43m
- ΔE to the lowest computed polymorph: 718 meV per atom
- ΔH_f (0 K): 0.82 eV/atom
- Crystal system: cubic

***

## Y2In2NiPt3 (GGA-PBE)

Data for an optimized crystal structure of Y2In2NiPt3.

Unit cell a=4.5580 b=4.5580 c=8.9485 alpha=90.00 beta=90.00 gamma=120.00
Element x y z (fractional)
Pt 0.0000 0.0000 0.6060
Pt 0.6667 0.3333 0.4071
Pt 0.6667 0.3333 0.0817
Ni 0.0000 0.0000 0.9147
In 0.3333 0.6667 0.9906
In 0.3333 0.6667 0.5021
Y 0.6667 0.3333 0.7511
Y 0.0000 0.0000 0.2466

Calculated values
- E_tot: -6.0993 eV per atom
- SG: P3m1
- Crystal system: trigonal

***

## Nb2PtSe2S4 (GGA-PBE)

Data for an optimized crystal structure of Nb2PtSe2S4.

Unit cell a=6.7388 b=6.7388 c=10.5468 alpha=118.22 beta=118.22 gamma=28.44
Element x y z (fractional)
Se 0.6598 0.6598 0.5358
Se 0.3402 0.3402 0.4642
S 0.7938 0.7938 0.8698
S 0.0141 0.0141 0.2312
S 0.9859 0.9859 0.7688
S 0.2062 0.2062 0.1302
Pt 0.0000 0.0000 0.0000
Nb 0.3264 0.3264 0.7167
Nb 0.6736 0.6736 0.2833

Calculated values
- E_tot: -6.3053 eV per atom
- SG: C2/m
- ΔE to the lowest computed polymorph: 4 meV per atom
- Crystal system: monoclinic

***

## LuFeSbPd (GGA-PBE)

Data for an optimized crystal structure of LuFeSbPd.

Unit cell a=4.6484 b=4.6484 c=4.6484 alpha=60.00 beta=60.00 gamma=60.00
Element x y z (fractional)
Pd 0.2500 0.2500 0.2500
Fe 0.7500 0.7500 0.7500
Lu 0.5000 0.5000 0.5000
Sb 0.0000 0.0000 0.0000

Calculated values
- E_tot: -5.9429 eV per atom
- SG: F-43m
- ΔE to the lowest computed polymorph: 0 meV per atom
- Crystal system: cubic